# 1
The following is a PBE-GGA calculation of Cs2SiHgBr6 after structural relaxation, from Alexandria.

Properties
- magnetic moment (μB/atom) = 0.00
- formation energy (no corrections) (eV per atom) = -1.034
- E (eV per atom) = -2.7811

abc: 8.119 8.119 11.498
angles: 90.00 90.00 90.00
Space group I4/mmm (No. 139)
Symmetry-distinct sites (fractional):
Cs 0.000 0.500 0.250 x4
Si 0.000 0.000 0.000 x2
Hg 0.000 0.000 0.500 x2
Br 0.000 0.000 0.213 x4
Br 0.214 0.214 0.000 x8

---

# 2
The following is a PBE-GGA calculation of Ce2MnSiPt6 after structural relaxation, from Alexandria.

Properties
- magnetic moment (μB/atom) = 0.46
- formation energy (no corrections) (eV per atom) = -0.768
- E (eV per atom) = -7.0381

abc: 11.678 5.450 8.369
angles: 90.00 132.52 90.00
Space group C2/m (No. 12)
Symmetry-distinct sites (fractional):
Ce 0.240 0.000 0.203 x4
Mn 0.000 0.500 0.000 x2
Si 0.000 0.000 0.500 x2
Pt 0.013 0.250 0.754 x8
Pt 0.250 0.000 0.607 x4

---

# 3
The following is a PBE-GGA calculation of TaTl2Br after structural relaxation, from Alexandria.

Properties
- magnetic moment (μB/atom) = 0.00
- formation energy (no corrections) (eV per atom) = 0.454
- E (eV per atom) = -4.1109
- excess energy over the best structure of this formula in the dataset (eV per atom) = 0.389

abc: 5.504 5.504 3.182
angles: 90.00 90.00 90.00
Space group P4/mmm (No. 123)
Symmetry-distinct sites (fractional):
Ta 0.000 0.000 0.000 x1
Tl 0.000 0.500 0.500 x2
Br 0.500 0.500 0.000 x1